# LiTcO3 SCAN single point on PBEsol structure
# VASP energy: -57.4 eV for the cell shown
# uncorrected formation energy: -0.253 eV per atom
# magnetization: 1.931 Bohr magnetons per cell
# volume: 8.031 Å³ per atom
data_LiTcO3
_cell_length_a 3.424
_cell_length_b 3.424
_cell_length_c 3.424
_cell_angle_alpha 90.00
_cell_angle_beta 90.00
_cell_angle_gamma 90.00
_space_group_name_H-M_alt 'P m -3 m'
_space_group_IT_number 221
_space_group_name_Hall '-P 4 2 3'
loop_
_atom_site_label
_atom_site_fract_x
_atom_site_fract_y
_atom_site_fract_z
Li1 0.000 0.000 0.000
Tc1 0.500 0.500 0.500
O1 0.000 0.000 0.500

***

# Li6Te2O9 SCAN single point on PBEsol structure
# VASP energy: -698.3 eV for the cell shown
# uncorrected formation energy: -1.745 eV per atom
# magnetization: 0.000 Bohr magnetons per cell
# volume: 10.703 Å³ per atom
data_Li6Te2O9
_cell_length_a 5.855
_cell_length_b 8.501
_cell_length_c 15.607
_cell_angle_alpha 88.50
_cell_angle_beta 79.81
_cell_angle_gamma 72.23
_space_group_name_H-M_alt 'P -1'
_space_group_IT_number 2
loop_
_space_group_symop_operation_xyz
'x,y,z'
'-x,-y,-z'
loop_
_atom_site_label
_atom_site_fract_x
_atom_site_fract_y
_atom_site_fract_z
Li1 0.015 0.361 0.352
Li2 0.058 0.647 0.493
Li3 0.073 0.869 0.729
Li4 0.099 0.137 0.001
Li5 0.122 0.149 0.837
Li6 0.233 0.626 0.223
Li7 0.322 0.365 0.771
Li8 0.322 0.991 0.565
Li9 0.349 0.823 0.945
Li10 0.352 0.479 0.953
Li11 0.393 0.141 0.272
Li12 0.419 0.358 0.524
Te1 0.092 0.378 0.147
Te2 0.253 0.883 0.359
Te3 0.357 0.903 0.145
Te4 0.497 0.399 0.345
O1 0.012 0.391 0.840
O2 0.013 0.169 0.579
O3 0.093 0.668 0.930
O4 0.094 0.883 0.242
O5 0.125 0.113 0.360
O6 0.150 0.924 0.063
O7 0.176 0.613 0.746
O8 0.203 0.145 0.180
O9 0.215 0.423 0.432
O10 0.291 0.391 0.256
O11 0.312 0.578 0.573
O12 0.365 0.044 0.911
O13 0.374 0.363 0.065
O14 0.387 0.833 0.662
O15 0.416 0.635 0.320
O16 0.452 0.865 0.443
O17 0.485 0.673 0.137
O18 0.486 0.105 0.745

***

# LiTe2O SCAN single point on PBEsol structure
# VASP energy: -336.8 eV for the cell shown
# uncorrected formation energy: -0.269 eV per atom
# magnetization: 0.000 Bohr magnetons per cell
# volume: 28.651 Å³ per atom
data_LiTe2O
_cell_length_a 5.857
_cell_length_b 5.857
_cell_length_c 13.364
_cell_angle_alpha 90.00
_cell_angle_beta 90.00
_cell_angle_gamma 90.00
_space_group_name_H-M_alt 'I -4 2 d'
_space_group_IT_number 122
_space_group_name_Hall 'I -4 2bw'
loop_
_atom_site_label
_atom_site_fract_x
_atom_site_fract_y
_atom_site_fract_z
Li1 0.000 0.000 0.000
Te1 0.057 0.250 0.625
O1 0.000 0.000 0.500

***

# Li8Te2O9 SCAN single point on PBEsol structure
# VASP energy: -741.7 eV for the cell shown
# uncorrected formation energy: -1.880 eV per atom
# magnetization: 0.000 Bohr magnetons per cell
# volume: 10.154 Å³ per atom
data_Li8Te2O9
_cell_length_a 5.936
_cell_length_b 9.036
_cell_length_c 15.488
_cell_angle_alpha 86.10
_cell_angle_beta 78.95
_cell_angle_gamma 71.17
_space_group_name_H-M_alt 'P -1'
_space_group_IT_number 2
loop_
_space_group_symop_operation_xyz
'x,y,z'
'-x,-y,-z'
loop_
_atom_site_label
_atom_site_fract_x
_atom_site_fract_y
_atom_site_fract_z
Li1 0.017 0.133 0.042
Li2 0.027 0.324 0.359
Li3 0.087 0.410 0.146
Li4 0.089 0.633 0.470
Li5 0.095 0.875 0.740
Li6 0.162 0.884 0.546
Li7 0.203 0.623 0.239
Li8 0.210 0.380 0.963
Li9 0.267 0.088 0.642
Li10 0.292 0.616 0.049
Li11 0.331 0.119 0.462
Li12 0.332 0.378 0.762
Li13 0.382 0.833 0.146
Li14 0.438 0.871 0.973
Li15 0.440 0.123 0.260
Li16 0.444 0.363 0.545
Te1 0.138 0.133 0.857
Te2 0.249 0.879 0.353
Te3 0.390 0.627 0.858
Te4 0.497 0.369 0.363
O1 0.026 0.124 0.556
O2 0.029 0.358 0.846
O3 0.059 0.871 0.264
O4 0.110 0.623 0.945
O5 0.138 0.106 0.346
O6 0.149 0.878 0.061
O7 0.194 0.630 0.766
O8 0.218 0.366 0.454
O9 0.268 0.853 0.855
O10 0.287 0.622 0.558
O11 0.323 0.362 0.230
O12 0.326 0.129 0.950
O13 0.368 0.651 0.354
O14 0.382 0.857 0.645
O15 0.425 0.370 0.053
O16 0.445 0.880 0.440
O17 0.481 0.123 0.743
O18 0.491 0.599 0.148

***

# Li4TeO5 SCAN single point on PBEsol structure
# VASP energy: -194.7 eV for the cell shown
# uncorrected formation energy: -1.940 eV per atom
# magnetization: 0.000 Bohr magnetons per cell
# volume: 9.121 Å³ per atom
data_Li4TeO5
_cell_length_a 5.105
_cell_length_b 5.158
_cell_length_c 7.759
_cell_angle_alpha 107.81
_cell_angle_beta 101.95
_cell_angle_gamma 101.63
_space_group_name_H-M_alt 'P -1'
_space_group_IT_number 2
loop_
_space_group_symop_operation_xyz
'x,y,z'
'-x,-y,-z'
loop_
_atom_site_label
_atom_site_fract_x
_atom_site_fract_y
_atom_site_fract_z
Li1 0.000 0.000 0.000
Li2 0.074 0.196 0.682
Li3 0.204 0.387 0.396
Li4 0.272 0.606 0.112
Li5 0.500 0.000 0.500
Te1 0.391 0.789 0.788
O1 0.074 0.609 0.847
O2 0.162 0.816 0.571
O3 0.279 0.009 0.250
O4 0.367 0.171 0.956
O5 0.449 0.435 0.668

***

# Li2Te2O5 SCAN single point on PBEsol structure
# VASP energy: -498.3 eV for the cell shown
# uncorrected formation energy: -1.572 eV per atom
# magnetization: 0.000 Bohr magnetons per cell
# volume: 13.271 Å³ per atom
data_Li2Te2O5
_cell_length_a 10.287
_cell_length_b 4.564
_cell_length_c 12.197
_cell_angle_alpha 90.00
_cell_angle_beta 123.47
_cell_angle_gamma 90.00
_space_group_name_H-M_alt 'P 1 21/c 1'
_space_group_IT_number 14
loop_
_space_group_symop_operation_xyz
'x,y,z'
'-x,-y,-z'
'-x,y+1/2,-z+1/2'
'x,-y+1/2,z+1/2'
loop_
_atom_site_label
_atom_site_fract_x
_atom_site_fract_y
_atom_site_fract_z
Li1 0.076 0.221 0.488
Li2 0.078 0.703 0.828
Te1 0.311 0.698 0.655
Te2 0.312 0.191 0.879
O1 0.112 0.232 0.343
O2 0.112 0.723 0.007
O3 0.246 0.685 0.293
O4 0.256 0.188 0.177
O5 0.392 0.519 0.550

***

# Li2TiTeO SCAN single point on PBEsol structure
# VASP energy: -63.5 eV for the cell shown
# uncorrected formation energy: 0.156 eV per atom
# magnetization: 3.206 Bohr magnetons per cell
# volume: 20.993 Å³ per atom
data_Li2TiTeO
_cell_length_a 4.961
_cell_length_b 4.961
_cell_length_c 4.264
_cell_angle_alpha 90.00
_cell_angle_beta 90.00
_cell_angle_gamma 90.00
_space_group_name_H-M_alt 'P 4/m m m'
_space_group_IT_number 123
_space_group_name_Hall '-P 4 2'
loop_
_atom_site_label
_atom_site_fract_x
_atom_site_fract_y
_atom_site_fract_z
Li1 0.000 0.500 0.000
Ti1 0.000 0.000 0.500
Te1 0.500 0.500 0.000
O1 0.500 0.500 0.500

***

# Li2TiTe3O12 SCAN single point on PBEsol structure
# VASP energy: -236.4 eV for the cell shown
# uncorrected formation energy: -1.613 eV per atom
# magnetization: 0.000 Bohr magnetons per cell
# volume: 11.817 Å³ per atom
data_Li2TiTe3O12
_cell_length_a 4.943
_cell_length_b 8.351
_cell_length_c 5.155
_cell_angle_alpha 90.00
_cell_angle_beta 91.43
_cell_angle_gamma 90.00
_space_group_name_H-M_alt 'P 1 2 1'
_space_group_IT_number 3
loop_
_space_group_symop_operation_xyz
'x,y,z'
'-x,y,-z'
loop_
_atom_site_label
_atom_site_fract_x
_atom_site_fract_y
_atom_site_fract_z
Li1 0.000 0.000 0.000
Li2 0.500 0.124 0.000
Ti1 0.000 0.209 0.500
Te1 0.000 0.382 0.000
Te2 0.500 0.691 0.000
Te3 0.500 0.890 0.500
O1 0.199 0.369 0.693
O2 0.203 0.210 0.175
O3 0.249 0.545 0.145
O4 0.260 0.043 0.640
O5 0.290 0.870 0.170
O6 0.294 0.720 0.679

***

# LiVTeO5 SCAN single point on PBEsol structure
# VASP energy: -415.1 eV for the cell shown
# offset from the most stable computed form: 0.052 eV/atom
# uncorrected formation energy: -1.937 eV per atom
# magnetization: 0.000 Bohr magnetons per cell
# volume: 15.069 Å³ per atom
data_LiVTeO5
_cell_length_a 4.869
_cell_length_b 8.703
_cell_length_c 11.380
_cell_angle_alpha 90.00
_cell_angle_beta 90.00
_cell_angle_gamma 90.00
_space_group_name_H-M_alt 'P 21 21 21'
_space_group_IT_number 19
loop_
_space_group_symop_operation_xyz
'x,y,z'
'-x+1/2,-y,z+1/2'
'x+1/2,-y+1/2,-z'
'-x,y+1/2,-z+1/2'
loop_
_atom_site_label
_atom_site_fract_x
_atom_site_fract_y
_atom_site_fract_z
Li1 0.177 0.051 0.461
V1 0.165 0.423 0.372
Te1 0.186 0.682 0.608
O1 0.167 0.951 0.119
O2 0.182 0.470 0.995
O3 0.186 0.160 0.926
O4 0.221 0.522 0.727
O5 0.231 0.239 0.384

***

# LiVTeO5 SCAN single point on PBEsol structure
# VASP energy: -416.8 eV for the cell shown
# offset from the most stable computed form: 0.000 eV/atom
# uncorrected formation energy: -1.989 eV per atom
# magnetization: 0.000 Bohr magnetons per cell
# volume: 12.609 Å³ per atom
data_LiVTeO5
_cell_length_a 7.562
_cell_length_b 5.927
_cell_length_c 9.003
_cell_angle_alpha 90.00
_cell_angle_beta 90.00
_cell_angle_gamma 90.00
_space_group_name_H-M_alt 'P n m a'
_space_group_IT_number 62
loop_
_space_group_symop_operation_xyz
'x,y,z'
'-x,-y,-z'
'-x+1/2,-y,z+1/2'
'x+1/2,y,-z+1/2'
'x+1/2,-y+1/2,-z+1/2'
'-x+1/2,y+1/2,z+1/2'
'-x,y+1/2,-z'
'x,-y+1/2,z'
loop_
_atom_site_label
_atom_site_fract_x
_atom_site_fract_y
_atom_site_fract_z
Li1 0.000 0.000 0.000
V1 0.211 0.250 0.289
Te1 0.121 0.250 0.671
O1 0.033 0.250 0.399
O2 0.137 0.250 0.119
O3 0.157 0.750 0.085
O4 0.178 0.018 0.818

***

# Li4VTeW2O12 SCAN single point on PBEsol structure
# VASP energy: -322.0 eV for the cell shown
# uncorrected formation energy: -2.179 eV per atom
# magnetization: 1.000 Bohr magnetons per cell
# volume: 10.502 Å³ per atom
data_Li4VTeW2O12
_cell_length_a 5.050
_cell_length_b 5.443
_cell_length_c 7.685
_cell_angle_alpha 96.14
_cell_angle_beta 90.46
_cell_angle_gamma 90.15
_space_group_name_H-M_alt 'P 1'
_space_group_IT_number 1
loop_
_space_group_symop_operation_xyz
'x,y,z'
loop_
_atom_site_label
_atom_site_fract_x
_atom_site_fract_y
_atom_site_fract_z
Li1 0.000 0.000 0.000
Li2 0.014 0.014 0.537
Li3 0.486 0.514 0.538
Li4 0.516 0.489 0.996
V1 0.989 0.432 0.787
Te1 0.504 0.948 0.295
W1 0.010 0.433 0.288
W2 0.510 0.930 0.805
O1 0.144 0.430 0.074
O2 0.155 0.712 0.404
O3 0.215 0.129 0.762
O4 0.296 0.628 0.767
O5 0.306 0.242 0.394
O6 0.373 0.943 0.057
O7 0.647 0.889 0.586
O8 0.680 0.543 0.246
O9 0.723 0.212 0.881
O10 0.792 0.711 0.886
O11 0.859 0.089 0.256
O12 0.873 0.396 0.577